Y2Te2S: optimized geometry, PBE.

abc: 6.227 8.476 12.208
angles: 90.00 90.00 90.00
Fractional coordinates of all 20 atoms:
Y1 0.250 0.161 0.927
Y2 0.750 0.437 0.767
Y3 0.250 0.563 0.233
Y4 0.750 0.937 0.733
Y5 0.750 0.339 0.427
Y6 0.750 0.839 0.073
Y7 0.250 0.661 0.573
Y8 0.250 0.063 0.267
S1 0.250 0.792 0.382
S2 0.750 0.208 0.618
S3 0.250 0.292 0.118
S4 0.750 0.708 0.882
Te1 0.250 0.839 0.062
Te2 0.750 0.161 0.938
Te3 0.750 0.046 0.287
Te4 0.750 0.546 0.213
Te5 0.250 0.454 0.787
Te6 0.750 0.661 0.562
Te7 0.250 0.339 0.438
Te8 0.250 0.954 0.713

Properties
Symmetry ... Pnma (62)
Size of the total moment ... 0.0 μB/cell
Uncorrected formation energy ... -1.54 eV per atom
Offset from the most stable computed form ... 26 kJ/mol of formula units

---

Ba2TcBr: optimized geometry, PBE.

abc: 5.677 5.677 5.677
angles: 60.00 60.00 60.00
Site moments in Bohr magnetons follow the coordinates.
Fractional coordinates of all 4 atoms:
Tc1 0.750 0.750 0.750  2.34
Ba1 0.250 0.250 0.250  -0.15
Ba2 0.000 0.000 0.000  -0.09
Br1 0.500 0.500 0.500  0.05

Properties
Symmetry ... F-43m (216)
DOS(E_F) ... 1.30 states/eV per atom
Size of the total moment ... 2.2 μB/cell
Uncorrected formation energy ... 0.52 eV per atom
Offset from the most stable computed form ... 247 kJ/mol of formula units